Below is an optimized crystal structure of BeCu3Te, with properties calculated at the GGA-PBE level.

Results
* space-group type: Pm-3m (221)
* formation energy (no corrections): 5.7 eV/f.u.
* E: -13.48 eV/cell

Lattice parameters (Å, degrees): 4.888 4.888 4.888 90.00 90.00 90.00
Atoms (fractional coordinates):
Be1 0.000 0.000 0.000
Cu1 0.000 0.500 0.500
Cu2 0.500 0.000 0.500
Cu3 0.500 0.500 0.000
Te1 0.500 0.500 0.500